Record 1
Here is an optimized crystal structure of CaDyZnHg from Alexandria. Energies are from PBE-GGA.

a b c (Å): 3.701 3.701 7.336
angles (deg): 90.00 90.00 90.00
Sites, in units of the cell vectors:
Ca 0.500 0.500 0.115
Dy 0.500 0.500 0.595
Hg 0.000 0.000 0.843
Zn 0.000 0.000 0.375

Polymorph energy (0 for the lowest one)   0 meV/atom
Calculated volume   25.12 Å³/atom
SG   No. 99

---

Record 2
Here is an optimized crystal structure of NiRhC from Alexandria. Energies are from PBE-GGA.

a b c (Å): 3.076 3.076 11.950
angles (deg): 90.00 90.00 120.00
Sites, in units of the cell vectors:
C 0.667 0.333 0.918
C 0.000 0.000 0.585
C 0.333 0.667 0.251
Rh 0.333 0.667 0.498
Rh 0.667 0.333 0.165
Rh 0.000 0.000 0.832
Ni 0.667 0.333 0.660
Ni 0.333 0.667 0.993
Ni 0.000 0.000 0.327

Polymorph energy (0 for the lowest one)   0 meV/atom
Calculated volume   10.88 Å³/atom
SG   No. 160

---

Record 3
Here is an optimized crystal structure of Pu2Ni4P3Pd from Alexandria. Energies are from PBE-GGA.

a b c (Å): 3.878 3.878 9.920
angles (deg): 90.00 90.00 90.00
Site moments in Bohr magnetons follow the coordinates.
Sites, in units of the cell vectors:
Ni 0.000 0.500 0.346  -0.12
Ni 0.500 0.000 0.654  -0.12
Ni 0.500 0.500 0.000  -0.07
Ni 0.000 0.000 0.000  -0.07
P 0.000 0.000 0.500  -0.06
P 0.000 0.500 0.125  -0.05
P 0.500 0.000 0.875  -0.05
Pu 0.500 0.000 0.248  4.97
Pu 0.000 0.500 0.752  4.97
Pd 0.500 0.500 0.500  -0.06

Calculated volume   14.92 Å³/atom
SG   No. 115

---

Record 4
Here is an optimized crystal structure of GdScGeRh from Alexandria. Energies are from PBE-GGA.

a b c (Å): 4.840 4.840 4.840
angles (deg): 60.00 60.00 60.00
Site moments in Bohr magnetons follow the coordinates.
Sites, in units of the cell vectors:
Rh 0.750 0.750 0.750  -0.03
Gd 0.000 0.000 0.000  6.99
Sc 0.500 0.500 0.500  -0.02
Ge 0.250 0.250 0.250  -0.02

Calculated volume   20.04 Å³/atom
SG   No. 216

---

Record 5
Here is an optimized crystal structure of Be2ReBr from Alexandria. Energies are from PBE-GGA.

a b c (Å): 4.287 4.287 4.906
angles (deg): 91.79 91.79 43.55
Sites, in units of the cell vectors:
Re 0.250 0.250 0.250
Be 0.547 0.547 0.365
Be 0.953 0.953 0.135
Br 0.750 0.750 0.750

Polymorph energy (0 for the lowest one)   365 meV/atom
Calculated volume   15.52 Å³/atom
SG   No. 12
Formation energy without anion corrections   0.748 eV per atom

---

Record 6
Here is an optimized crystal structure of Na2Li3Hg8 from Alexandria. Energies are from PBE-GGA.

a b c (Å): 4.836 8.259 8.259
angles (deg): 74.73 80.71 80.71
Sites, in units of the cell vectors:
Hg 0.213 0.570 0.570
Hg 0.067 0.871 0.871
Hg 0.415 0.907 0.367
Hg 0.415 0.367 0.907
Hg 0.933 0.129 0.129
Hg 0.585 0.633 0.093
Hg 0.585 0.093 0.633
Hg 0.787 0.430 0.430
Na 0.656 0.709 0.709
Na 0.344 0.291 0.291
Li 0.000 0.754 0.246
Li 0.000 0.246 0.754
Li 0.500 0.000 0.000

Calculated volume   23.97 Å³/atom
SG   No. 12

---

Number 1: total energy -2.455 eV per atom. Number 2: total energy -7.141 eV per atom. Number 3: total energy -8.009 eV per atom. Number 4: total energy -8.811 eV per atom. Number 5: total energy -4.646 eV per atom. Number 6: total energy -1.040 eV per atom.